1.
{"formula": "MnBeBr", "functional": "SCAN", "state": "single point on PBEsol structure", "lattice": [[0.000, 2.846, 2.846], [2.846, 0.000, 2.846], [2.846, 2.846, 0.000]], "species": ["Mn", "Be", "Br"], "frac_coords": [[0.000, 0.000, 0.000], [0.250, 0.250, 0.250], [0.750, 0.750, 0.750]], "energy_ev_per_atom": -13.265, "sg": "No. 216", "crystal_system": "cubic"}

***

2.
{"formula": "Tb2MnNiO6", "functional": "SCAN", "state": "single point on PBEsol structure", "lattice": [[5.173, 0.000, 0.000], [0.000, 5.521, 0.000], [-5.105, 0.000, 7.425]], "species": ["Tb", "Tb", "Tb", "Tb", "Mn", "Mn", "Ni", "Ni", "O", "O", "O", "O", "O", "O", "O", "O", "O", "O", "O", "O"], "frac_coords": [[0.229, 0.073, 0.249], [0.229, 0.427, 0.749], [0.771, 0.573, 0.251], [0.771, 0.927, 0.751], [0.500, 0.000, 0.000], [0.500, 0.500, 0.500], [0.000, 0.000, 0.500], [0.000, 0.500, 0.000], [0.151, 0.190, 0.951], [0.151, 0.310, 0.451], [0.262, 0.707, 0.948], [0.262, 0.793, 0.448], [0.355, 0.028, 0.755], [0.355, 0.472, 0.255], [0.645, 0.528, 0.745], [0.645, 0.972, 0.245], [0.738, 0.207, 0.552], [0.738, 0.293, 0.052], [0.849, 0.690, 0.549], [0.849, 0.810, 0.049]], "energy_ev_per_atom": -19.490, "sg": "No. 14", "crystal_system": "monoclinic"}